Below is MnCd2GaO4 after structural relaxation, with properties calculated at the PBE+U level.

Summary:
magnetization = 10.051 Bohr magnetons per cell
SG = I-42m (121)
VASP energy = -5.341 eV per atom

CIF file:
```
data_MnCd2GaO4
_space_group_name_H-M_alt 'P 1'
_space_group_IT_number 1
_cell_length_a 4.885
_cell_length_b 4.885
_cell_length_c 10.139
_cell_angle_alpha 90.00
_cell_angle_beta 90.00
_cell_angle_gamma 90.00
loop_
_space_group_symop_operation_xyz
'x,y,z'
loop_
_atom_site_label
_atom_site_type_symbol
_atom_site_fract_x
_atom_site_fract_y
_atom_site_fract_z
_atom_site_occupancy
Mn1 Mn 0.000 0.000 0.000 1
Mn2 Mn 0.500 0.500 0.500 1
Cd1 Cd 0.000 0.500 0.250 1
Cd2 Cd 0.000 0.500 0.750 1
Cd3 Cd 0.500 0.000 0.250 1
Cd4 Cd 0.500 0.000 0.750 1
Ga1 Ga 0.000 0.000 0.500 1
Ga2 Ga 0.500 0.500 0.000 1
O1 O 0.231 0.231 0.397 1
O2 O 0.231 0.769 0.603 1
O3 O 0.269 0.269 0.897 1
O4 O 0.269 0.731 0.103 1
O5 O 0.731 0.269 0.103 1
O6 O 0.731 0.731 0.897 1
O7 O 0.769 0.231 0.603 1
O8 O 0.769 0.769 0.397 1
```